1.
Below is K2NaIn2 after structural relaxation, with properties calculated at the PBE-GGA level.

Lattice parameters (Å, degrees): 8.2430 8.2430 5.9768 90.00 90.00 90.00
Space group P4/mbm (No. 127)
Asymmetric unit:
K (0.1760, 0.3240, 0.0000) x4
Na (0.0000, 0.0000, 0.5000) x2
In (0.1238, 0.6238, 0.5000) x4

Values from the calculation:
- E_form: -0.002 eV/atom
- Calculated total energy: -1.7998 eV/atom
- ΔE to the lowest computed polymorph: 57.1 meV/atom

=====

2.
Below is K2MgHg after structural relaxation, with properties calculated at the PBE-GGA level.

Lattice parameters (Å, degrees): 5.5904 5.5904 5.0546 90.00 90.00 90.00
Space group P4/mmm (No. 123)
Asymmetric unit:
K (0.0000, 0.5000, 0.0000) x2
Mg (0.0000, 0.0000, 0.5000) x1
Hg (0.5000, 0.5000, 0.5000) x1

Values from the calculation:
- E_form: 0.034 eV/atom
- Calculated total energy: -0.9885 eV/atom
- ΔE to the lowest computed polymorph: 96.7 meV/atom

=====

3.
Below is BeAl2 after structural relaxation, with properties calculated at the PBE-GGA level.

Lattice parameters (Å, degrees): 9.1434 2.8106 6.6872 90.00 99.53 90.00
Space group Cm (No. 8)
Asymmetric unit:
Be (0.0000, 0.0000, 0.0000) x2
Be (0.1356, 0.5000, 0.2083) x2
Al (0.0043, 0.5000, 0.7026) x2
Al (0.2146, 0.0000, 0.5213) x2
Al (0.2667, 0.0000, 0.9543) x2
Al (0.4173, 0.5000, 0.3283) x2

Values from the calculation:
- E_form: 0.175 eV/atom
- Calculated total energy: -3.5626 eV/atom

=====

4.
Below is ReIrOs2 after structural relaxation, with properties calculated at the PBE-GGA level.

Lattice parameters (Å, degrees): 2.7344 2.7344 7.7628 90.00 90.00 90.00
Space group P4mm (No. 99)
Asymmetric unit:
Re (0.0000, 0.0000, 0.0000) x1
Ir (0.5000, 0.5000, 0.2504) x1
Os (0.0000, 0.0000, 0.5047) x1
Os (0.5000, 0.5000, 0.7481) x1

Values from the calculation:
- E_form: 0.011 eV/atom
- Calculated total energy: -10.9308 eV/atom
- ΔE to the lowest computed polymorph: 125.5 meV/atom

=====

5.
Below is RbSr2Hg after structural relaxation, with properties calculated at the PBE-GGA level.

Lattice parameters (Å, degrees): 4.6835 4.6835 34.7903 90.00 90.00 120.00
Space group R3m (No. 160, hexagonal axes)
Asymmetric unit:
Rb (0.0000, 0.0000, 0.0000) x3
Sr (0.0000, 0.0000, 0.2203) x3
Sr (0.0000, 0.0000, 0.4470) x3
Hg (0.0000, 0.0000, 0.8338) x3

Values from the calculation:
- E_form: -0.182 eV/atom
- Calculated total energy: -1.3403 eV/atom

=====

6.
Below is LaY2P2 after structural relaxation, with properties calculated at the PBE-GGA level.

Lattice parameters (Å, degrees): 7.8352 7.8352 3.8262 90.00 90.00 90.00
Space group P4/mbm (No. 127)
Asymmetric unit:
La (0.0000, 0.0000, 0.0000) x2
Y (0.1551, 0.3449, 0.5000) x4
P (0.1452, 0.6452, 0.0000) x4

Values from the calculation:
- E_form: -1.177 eV/atom
- Calculated total energy: -6.9125 eV/atom
- ΔE to the lowest computed polymorph: 0.0 meV/atom

=====

7.
Below is AcYSi2Ni2 after structural relaxation, with properties calculated at the PBE-GGA level.

Lattice parameters (Å, degrees): 4.0450 4.0450 8.5180 90.00 90.00 120.00
Space group P-3m1 (No. 164)
Asymmetric unit:
Ac (0.0000, 0.0000, 0.0000) x1
Y (0.0000, 0.0000, 0.5000) x1
Si (0.3333, 0.6667, 0.2712) x2
Ni (0.3333, 0.6667, 0.7279) x2

Values from the calculation:
- Calculated total energy: -6.2077 eV/atom
- E_form (uncorrected): -711 meV/atom

=====

8.
Below is YZr2Mo after structural relaxation, with properties calculated at the PBE-GGA level.

Lattice parameters (Å, degrees): 3.4838 5.3045 9.9471 90.00 90.00 90.00
Space group Immm (No. 71)
Asymmetric unit:
Y (0.0000, 0.0000, 0.0000) x2
Zr (0.0000, 0.5000, 0.2125) x4
Mo (0.0000, 0.0000, 0.5000) x2

Values from the calculation:
- E_form: 0.110 eV/atom
- Calculated total energy: -8.4882 eV/atom
- ΔE to the lowest computed polymorph: 40.2 meV/atom

=====

9.
Below is NiHgGe2S after structural relaxation, with properties calculated at the PBE-GGA level.

Lattice parameters (Å, degrees): 5.1748 5.1748 4.9639 90.00 90.00 90.00
Space group P4/mmm (No. 123)
Asymmetric unit:
Ni (0.0000, 0.0000, 0.0000) x1
Hg (0.5000, 0.5000, 0.5000) x1
Ge (0.0000, 0.5000, 0.5000) x2
S (0.5000, 0.5000, 0.0000) x1

Values from the calculation:
- Calculated total energy: -2.5642 eV/atom
- E_form (uncorrected): 1325 meV/atom
- ΔE to the lowest computed polymorph: 190.3 meV/atom

=====

10.
Below is Cr2Ni9Rh after structural relaxation, with properties calculated at the PBE-GGA level.

Lattice parameters (Å, degrees): 3.5702 3.5702 10.7232 90.00 90.00 90.00
Space group P4/mmm (No. 123)
Asymmetric unit:
Cr (0.0000, 0.0000, 0.1655) x2
Ni (0.0000, 0.5000, 0.0000) x2
Ni (0.0000, 0.5000, 0.3269) x4
Ni (0.5000, 0.5000, 0.1640) x2
Ni (0.5000, 0.5000, 0.5000) x1
Rh (0.0000, 0.0000, 0.5000) x1

Values from the calculation:
- E_form: 0.019 eV/atom
- Calculated total energy: -6.5338 eV/atom

=====

11.
Below is ZrIrO2F after structural relaxation, with properties calculated at the PBE-GGA level.

Lattice parameters (Å, degrees): 4.1836 4.1836 4.1396 90.00 90.00 90.00
Space group P4/mmm (No. 123)
Asymmetric unit:
Zr (0.0000, 0.0000, 0.0000) x1
Ir (0.5000, 0.5000, 0.5000) x1
O (0.0000, 0.5000, 0.0000) x2
F (0.0000, 0.0000, 0.5000) x1

Values from the calculation:
- Calculated total energy: -7.0621 eV/atom
- E_form (uncorrected): -1223 meV/atom

=====

12.
Below is CdPt2W after structural relaxation, with properties calculated at the PBE-GGA level.

Lattice parameters (Å, degrees): 4.0728 4.0728 4.0246 90.00 90.00 90.00
Space group P4/mmm (No. 123)
Asymmetric unit:
Cd (0.0000, 0.0000, 0.0000) x1
Pt (0.0000, 0.5000, 0.5000) x2
W (0.5000, 0.5000, 0.0000) x1

Values from the calculation:
- E_form: 0.263 eV/atom
- Calculated total energy: -6.2248 eV/atom